Entry from OQMD via LeMat-Bulk: a relaxed structure of TmAlRe (PBE).

Unit cell a=4.447 b=4.447 c=4.447 alpha=60.00 beta=60.00 gamma=60.00
Fractional coordinates of all 3 atoms:
Al1 0.000 0.000 0.000
Re1 0.250 0.250 0.250
Tm1 0.750 0.750 0.750

space group = F-43m (216)

Entry from OQMD via LeMat-Bulk: a relaxed structure of TmAlRe (PBE).

Unit cell a=4.619 b=4.619 c=4.619 alpha=60.00 beta=60.00 gamma=60.00
Fractional coordinates of all 3 atoms:
Al1 0.250 0.250 0.250
Re1 0.750 0.750 0.750
Tm1 0.000 0.000 0.000

space group = F-43m (216)

Entry from OQMD via LeMat-Bulk: a relaxed structure of Tm2AlRe3 (PBE).

Unit cell a=5.324 b=5.324 c=8.941 alpha=90.00 beta=90.00 gamma=120.00
Fractional coordinates of all 12 atoms:
Al1 0.000 0.000 0.000
Al2 0.000 0.000 0.500
Re1 0.171 0.341 0.250
Re2 0.171 0.829 0.250
Re3 0.659 0.829 0.250
Re4 0.341 0.171 0.750
Re5 0.829 0.171 0.750
Re6 0.829 0.659 0.750
Tm1 0.667 0.333 0.067
Tm2 0.667 0.333 0.433
Tm3 0.333 0.667 0.567
Tm4 0.333 0.667 0.933

space group = P6_3/mmc (194)

Entry from OQMD via LeMat-Bulk: a relaxed structure of AlReW2 (PBE).

Unit cell a=4.433 b=4.433 c=4.433 alpha=60.00 beta=60.00 gamma=60.00
Fractional coordinates of all 4 atoms:
Al1 0.500 0.500 0.500
Re1 0.250 0.250 0.250
W1 0.000 0.000 0.000
W2 0.750 0.750 0.750

space group = F-43m (216)

Entry from OQMD via LeMat-Bulk: a relaxed structure of YAl2Re (PBE).

Unit cell a=4.661 b=4.661 c=4.661 alpha=60.00 beta=60.00 gamma=60.00
Fractional coordinates of all 4 atoms:
Al1 0.000 0.000 0.000
Al2 0.750 0.750 0.750
Re1 0.500 0.500 0.500
Y1 0.250 0.250 0.250

space group = F-43m (216)

Entry from OQMD via LeMat-Bulk: a relaxed structure of YAlRe2 (PBE).

Unit cell a=4.606 b=4.606 c=4.606 alpha=60.00 beta=60.00 gamma=60.00
Fractional coordinates of all 4 atoms:
Al1 0.500 0.500 0.500
Re1 0.000 0.000 0.000
Re2 0.750 0.750 0.750
Y1 0.250 0.250 0.250

space group = F-43m (216)

Entry from OQMD via LeMat-Bulk: a relaxed structure of Al2ZnRe (PBE).

Unit cell a=4.363 b=4.363 c=4.363 alpha=60.00 beta=60.00 gamma=60.00
Fractional coordinates of all 4 atoms:
Al1 0.000 0.000 0.000
Al2 0.750 0.750 0.750
Re1 0.500 0.500 0.500
Zn1 0.250 0.250 0.250

space group = F-43m (216)

Entry from OQMD via LeMat-Bulk: a relaxed structure of AlZnRe2 (PBE).

Unit cell a=4.331 b=4.331 c=4.331 alpha=60.00 beta=60.00 gamma=60.00
Fractional coordinates of all 4 atoms:
Al1 0.500 0.500 0.500
Re1 0.000 0.000 0.000
Re2 0.750 0.750 0.750
Zn1 0.250 0.250 0.250

space group = F-43m (216)

Entry from OQMD via LeMat-Bulk: a relaxed structure of Zr2AlRe (PBE).

Unit cell a=4.679 b=4.679 c=4.679 alpha=60.00 beta=60.00 gamma=60.00
Fractional coordinates of all 4 atoms:
Al1 0.500 0.500 0.500
Re1 0.250 0.250 0.250
Zr1 0.000 0.000 0.000
Zr2 0.750 0.750 0.750

space group = F-43m (216)

Entry from OQMD via LeMat-Bulk: a relaxed structure of ZrAl2Re (PBE).

Unit cell a=4.539 b=4.539 c=4.539 alpha=60.00 beta=60.00 gamma=60.00
Fractional coordinates of all 4 atoms:
Al1 0.000 0.000 0.000
Al2 0.250 0.250 0.250
Re1 0.750 0.750 0.750
Zr1 0.500 0.500 0.500

space group = F-43m (216)

Entry from OQMD via LeMat-Bulk: a relaxed structure of Zr2Al3Re (PBE).

Unit cell a=5.288 b=5.288 c=8.707 alpha=90.00 beta=90.00 gamma=120.00
Fractional coordinates of all 12 atoms:
Al1 0.332 0.166 0.250
Al2 0.834 0.166 0.250
Al3 0.834 0.668 0.250
Al4 0.166 0.332 0.750
Al5 0.166 0.834 0.750
Al6 0.668 0.834 0.750
Re1 0.000 0.000 0.000
Re2 0.000 0.000 0.500
Zr1 0.333 0.667 0.052
Zr2 0.333 0.667 0.448
Zr3 0.667 0.333 0.552
Zr4 0.667 0.333 0.948

space group = P6_3/mmc (194)

Entry from OQMD via LeMat-Bulk: a relaxed structure of Sm3AlS6 (PBE).

Unit cell a=8.688 b=8.688 c=6.557 alpha=90.00 beta=90.00 gamma=102.31
Fractional coordinates of all 20 atoms:
Al1 0.301 0.699 0.024
Al2 0.699 0.301 0.524
S1 0.458 0.542 0.158
S2 0.717 0.283 0.181
S3 0.136 0.188 0.190
S4 0.812 0.864 0.190
S5 0.074 0.601 0.190
S6 0.399 0.926 0.190
S7 0.542 0.458 0.658
S8 0.283 0.717 0.681
S9 0.188 0.136 0.690
S10 0.864 0.812 0.690
S11 0.601 0.074 0.690
S12 0.926 0.399 0.690
Sm1 0.101 0.899 0.397
Sm2 0.215 0.416 0.482
Sm3 0.584 0.785 0.482
Sm4 0.899 0.101 0.897
Sm5 0.416 0.215 0.982
Sm6 0.785 0.584 0.982

space group = Cmc2_1 (36)

Entry from OQMD via LeMat-Bulk: a relaxed structure of Sm3Al5S12 (PBE).

Unit cell a=13.008 b=13.008 c=13.008 alpha=109.47 beta=109.47 gamma=109.47
Fractional coordinates of all 80 atoms:
Al1 0.000 0.000 0.000
Al2 0.500 0.000 0.000
Al3 0.000 0.500 0.000
Al4 0.500 0.500 0.000
Al5 0.875 0.250 0.125
Al6 0.750 0.875 0.125
Al7 0.625 0.375 0.250
Al8 0.125 0.875 0.250
Al9 0.250 0.625 0.375
Al10 0.625 0.750 0.375
Al11 0.000 0.000 0.500
Al12 0.500 0.000 0.500
Al13 0.000 0.500 0.500
Al14 0.500 0.500 0.500
Al15 0.375 0.250 0.625
Al16 0.750 0.375 0.625
Al17 0.875 0.125 0.750
Al18 0.375 0.625 0.750
Al19 0.250 0.125 0.875
Al20 0.125 0.750 0.875
S1 0.205 0.119 0.027
S2 0.322 0.908 0.027
S3 0.881 0.408 0.085
S4 0.705 0.678 0.085
S5 0.619 0.415 0.092
S6 0.973 0.678 0.092
S7 0.027 0.205 0.119
S8 0.592 0.915 0.119
S9 0.205 0.585 0.178
S10 0.473 0.592 0.178
S11 0.119 0.027 0.205
S12 0.585 0.178 0.205
S13 0.473 0.381 0.295
S14 0.322 0.915 0.295
S15 0.908 0.027 0.322
S16 0.915 0.295 0.322
S17 0.295 0.473 0.381
S18 0.585 0.908 0.381
S19 0.822 0.527 0.408
S20 0.085 0.881 0.408
S21 0.092 0.619 0.415
S22 0.822 0.795 0.415
S23 0.592 0.178 0.473
S24 0.381 0.295 0.473
S25 0.619 0.705 0.527
S26 0.408 0.822 0.527
S27 0.178 0.205 0.585
S28 0.908 0.381 0.585
S29 0.915 0.119 0.592
S30 0.178 0.473 0.592
S31 0.415 0.092 0.619
S32 0.705 0.527 0.619
S33 0.092 0.973 0.678
S34 0.085 0.705 0.678
S35 0.678 0.085 0.705
S36 0.527 0.619 0.705
S37 0.415 0.822 0.795
S38 0.881 0.973 0.795
S39 0.527 0.408 0.822
S40 0.795 0.415 0.822
S41 0.973 0.795 0.881
S42 0.408 0.085 0.881
S43 0.027 0.322 0.908
S44 0.381 0.585 0.908
S45 0.295 0.322 0.915
S46 0.119 0.592 0.915
S47 0.678 0.092 0.973
S48 0.795 0.881 0.973
Sm1 0.250 0.375 0.125
Sm2 0.375 0.750 0.125
Sm3 0.375 0.125 0.250
Sm4 0.875 0.625 0.250
Sm5 0.750 0.125 0.375
Sm6 0.125 0.250 0.375
Sm7 0.875 0.750 0.625
Sm8 0.250 0.875 0.625
Sm9 0.125 0.375 0.750
Sm10 0.625 0.875 0.750
Sm11 0.625 0.250 0.875
Sm12 0.750 0.625 0.875

space group = Ia-3d (230)

Entry from OQMD via LeMat-Bulk: a relaxed structure of Sr2AlTcS6 (PBE).

Unit cell a=6.450 b=6.566 c=6.599 alpha=62.20 beta=63.75 gamma=62.97
Fractional coordinates of all 10 atoms:
Al1 0.000 0.500 0.000
S1 0.335 0.255 0.165
S2 0.825 0.180 0.280
S3 0.760 0.687 0.316
S4 0.240 0.313 0.684
S5 0.175 0.820 0.720
S6 0.665 0.745 0.835
Sr1 0.248 0.747 0.259
Sr2 0.752 0.253 0.741
Tc1 0.500 0.000 0.500

space group = P-1 (2)

Entry from OQMD via LeMat-Bulk: a relaxed structure of Sr2AlTcS6 (PBE).

Unit cell a=6.694 b=6.694 c=6.694 alpha=120.01 beta=120.01 gamma=89.98
Fractional coordinates of all 10 atoms:
Al1 0.000 0.000 0.000
S1 0.249 0.249 0.000
S2 0.751 0.249 0.000
S3 0.249 0.751 0.000
S4 0.751 0.751 0.000
S5 0.249 0.249 0.497
S6 0.751 0.751 0.503
Sr1 0.750 0.250 0.500
Sr2 0.250 0.750 0.500
Tc1 0.500 0.500 0.000

space group = Fm-3m (225)

Entry from OQMD via LeMat-Bulk: a relaxed structure of Sr2AlTcS6 (PBE).

Unit cell a=6.867 b=6.867 c=6.867 alpha=125.06 beta=125.06 gamma=81.45
Fractional coordinates of all 10 atoms:
Al1 0.000 0.000 0.000
S1 0.259 0.259 0.000
S2 0.741 0.741 0.000
S3 0.834 0.327 0.161
S4 0.327 0.166 0.493
S5 0.673 0.834 0.507
S6 0.166 0.673 0.839
Sr1 0.750 0.250 0.500
Sr2 0.250 0.750 0.500
Tc1 0.500 0.500 0.000

space group = I4/m (87)

Entry from OQMD via LeMat-Bulk: a relaxed structure of Tb3Al5S12 (PBE).

Unit cell a=12.922 b=12.922 c=12.922 alpha=109.47 beta=109.47 gamma=109.47
Fractional coordinates of all 80 atoms:
Al1 0.000 0.000 0.000
Al2 0.500 0.000 0.000
Al3 0.000 0.500 0.000
Al4 0.500 0.500 0.000
Al5 0.875 0.250 0.125
Al6 0.750 0.875 0.125
Al7 0.625 0.375 0.250
Al8 0.125 0.875 0.250
Al9 0.250 0.625 0.375
Al10 0.625 0.750 0.375
Al11 0.000 0.000 0.500
Al12 0.500 0.000 0.500
Al13 0.000 0.500 0.500
Al14 0.500 0.500 0.500
Al15 0.375 0.250 0.625
Al16 0.750 0.375 0.625
Al17 0.875 0.125 0.750
Al18 0.375 0.625 0.750
Al19 0.250 0.125 0.875
Al20 0.125 0.750 0.875
S1 0.323 0.908 0.029
S2 0.207 0.121 0.029
S3 0.879 0.408 0.086
S4 0.707 0.677 0.086
S5 0.621 0.414 0.092
S6 0.971 0.677 0.092
S7 0.592 0.914 0.121
S8 0.029 0.207 0.121
S9 0.207 0.586 0.177
S10 0.471 0.592 0.177
S11 0.586 0.177 0.207
S12 0.121 0.029 0.207
S13 0.471 0.379 0.293
S14 0.323 0.914 0.293
S15 0.908 0.029 0.323
S16 0.914 0.293 0.323
S17 0.293 0.471 0.379
S18 0.586 0.908 0.379
S19 0.823 0.529 0.408
S20 0.086 0.879 0.408
S21 0.092 0.621 0.414
S22 0.823 0.793 0.414
S23 0.592 0.177 0.471
S24 0.379 0.293 0.471
S25 0.621 0.707 0.529
S26 0.408 0.823 0.529
S27 0.177 0.207 0.586
S28 0.908 0.379 0.586
S29 0.914 0.121 0.592
S30 0.177 0.471 0.592
S31 0.414 0.092 0.621
S32 0.707 0.529 0.621
S33 0.086 0.707 0.677
S34 0.092 0.971 0.677
S35 0.677 0.086 0.707
S36 0.529 0.621 0.707
S37 0.414 0.823 0.793
S38 0.879 0.971 0.793
S39 0.529 0.408 0.823
S40 0.793 0.414 0.823
S41 0.408 0.086 0.879
S42 0.971 0.793 0.879
S43 0.029 0.323 0.908
S44 0.379 0.586 0.908
S45 0.293 0.323 0.914
S46 0.121 0.592 0.914
S47 0.677 0.092 0.971
S48 0.793 0.879 0.971
Tb1 0.375 0.750 0.125
Tb2 0.250 0.375 0.125
Tb3 0.375 0.125 0.250
Tb4 0.875 0.625 0.250
Tb5 0.750 0.125 0.375
Tb6 0.125 0.250 0.375
Tb7 0.875 0.750 0.625
Tb8 0.250 0.875 0.625
Tb9 0.125 0.375 0.750
Tb10 0.625 0.875 0.750
Tb11 0.625 0.250 0.875
Tb12 0.750 0.625 0.875

space group = Ia-3d (230)

Entry from OQMD via LeMat-Bulk: a relaxed structure of ZrAlTlS3 (PBE).

Unit cell a=8.175 b=8.175 c=10.100 alpha=90.00 beta=90.00 gamma=155.05
Fractional coordinates of all 12 atoms:
Al1 0.549 0.451 0.250
Al2 0.451 0.549 0.750
S1 0.620 0.380 0.059
S2 0.954 0.046 0.250
S3 0.620 0.380 0.441
S4 0.380 0.620 0.559
S5 0.046 0.954 0.750
S6 0.380 0.620 0.941
Tl1 0.262 0.738 0.250
Tl2 0.738 0.262 0.750
Zr1 0.000 0.000 0.000
Zr2 0.000 0.000 0.500

space group = Cmcm (63)

| no. | DFT total energy (eV/atom) | total magnetic moment (Bohr magnetons per cell) |
| --- | --- | --- |
| 1 | -6.473 | 0.254 |
| 2 | -5.683 | 0.996 |
| 3 | -8.681 | 0.013 |
| 4 | -10.494 | 0.005 |
| 5 | -6.493 | 0.019 |
| 6 | -8.563 | 0.001 |
| 7 | -5.074 | 0.002 |
| 8 | -7.436 | 0.004 |
| 9 | -8.455 | 0.000 |
| 10 | -7.317 | 0.011 |
| 11 | -7.292 | 0.001 |
| 12 | -6.109 | 0.007 |
| 13 | -5.581 | 0.003 |
| 14 | -5.261 | 2.004 |
| 15 | -5.174 | 1.961 |
| 16 | -5.269 | 2.011 |
| 17 | -5.562 | 0.007 |
| 18 | -5.428 | 0.013 |